[1]
# InGaSe2Br

An optimized crystal structure of InGaSe2Br (GGA-PBE, the Alexandria database).

Unit cell a=5.2765 b=5.2765 c=5.6202 alpha=90.00 beta=90.00 gamma=90.00
Closest atoms and distances in Å follow each position.
Atoms (fractional coordinates):
In1 0.0000 0.0000 0.0000  4 Se 2.64, 2 Br 2.81
Ga1 0.5000 0.5000 0.5000  4 Br 3.73, 8 Se 3.85
Se1 0.0000 0.5000 0.0000  2 In 2.64
Se2 0.5000 0.0000 0.0000  2 In 2.64
Br1 0.0000 0.0000 0.5000  2 In 2.81

As for the energy: -2.932 eV/atom. The value obtained for the raw formation energy is -0.050 eV/atom. For the energy above the most stable polymorph in this dataset, the calculation gives 122.3 meV per atom.

---

[2]
# In2GaSiBr

An optimized crystal structure of In2GaSiBr (GGA-PBE, the Alexandria database).

Unit cell a=5.5504 b=5.5504 c=4.8147 alpha=90.00 beta=90.00 gamma=90.00
Closest atoms and distances in Å follow each position.
Atoms (fractional coordinates):
In1 0.0000 0.5000 0.0000  2 Si 2.78
In2 0.5000 0.0000 0.0000  2 Si 2.78
Ga1 0.0000 0.0000 0.5000  2 Si 2.41
Si1 0.0000 0.0000 0.0000  2 Ga 2.41
Br1 0.5000 0.5000 0.5000  8 In 3.67, 4 Ga 3.92

As for the energy: -3.004 eV/atom. The value obtained for the raw formation energy is 0.116 eV/atom.

---

[3]
# SmIn2GaBr6

An optimized crystal structure of SmIn2GaBr6 (GGA-PBE, the Alexandria database).

Unit cell a=8.2912 b=8.2912 c=8.2912 alpha=58.07 beta=58.07 gamma=58.07
Closest atoms and distances in Å follow each position.
Atoms (fractional coordinates):
Sm1 0.0000 0.0000 0.0000  6 Br 2.85-2.91
In1 0.3001 0.3001 0.3001  6 Br 3.31-3.35
In2 0.7938 0.7938 0.7938  6 Br 3.32-3.41
Ga1 0.5075 0.5075 0.5075  6 Br 3.07-3.25
Br1 0.1380 0.3364 0.7444  1 Sm 2.85
Br2 0.2106 0.8711 0.6526  1 Sm 2.91, 1 Ga 3.07
Br3 0.3364 0.7444 0.1380  1 Sm 2.85
Br4 0.6526 0.2106 0.8711  1 Sm 2.91, 1 Ga 3.07
Br5 0.7444 0.1380 0.3364  1 Sm 2.85
Br6 0.8711 0.6526 0.2106  1 Sm 2.91, 1 Ga 3.07

As for the energy: -3.448 eV/atom. The value obtained for the raw formation energy is -1.122 eV/atom.

---

[4]
# InGaSnBr6

An optimized crystal structure of InGaSnBr6 (GGA-PBE, the Alexandria database).

Unit cell a=7.3126 b=7.3126 c=7.0082 alpha=90.00 beta=90.00 gamma=120.00
Closest atoms and distances in Å follow each position.
Atoms (fractional coordinates):
In1 0.0000 0.0000 0.0000  6 Br 3.32
Ga1 0.6667 0.3333 0.5000  6 Br 2.59
Sn1 0.3333 0.6667 0.5000  6 Br 3.01
Br1 0.3848 0.0433 0.7184  1 Ga 2.59
Br2 0.3848 0.3415 0.2816  1 Ga 2.59
Br3 0.6585 0.0433 0.2816  1 Ga 2.59
Br4 0.6585 0.6152 0.7184  1 Ga 2.59
Br5 0.9567 0.3415 0.7184  1 Ga 2.59
Br6 0.9567 0.6152 0.2816  1 Ga 2.59

As for the energy: -2.906 eV/atom. The value obtained for the raw formation energy is -0.705 eV/atom.

---

[5]
# ThInGaBr6

An optimized crystal structure of ThInGaBr6 (GGA-PBE, the Alexandria database).

Unit cell a=7.8215 b=7.8215 c=13.8459 alpha=90.00 beta=90.00 gamma=120.00
Closest atoms and distances in Å follow each position.
Atoms (fractional coordinates):
Th1 0.3333 0.6667 0.2500  6 Br 2.86
Th2 0.6667 0.3333 0.7500  6 Br 2.86
In1 0.0000 0.0000 0.0000  6 Br 3.36
In2 0.0000 0.0000 0.5000  6 Br 3.36
Ga1 0.3333 0.6667 0.7500  6 Br 3.13
Ga2 0.6667 0.3333 0.2500  6 Br 3.13
Br1 0.0265 0.3720 0.1329  1 Th 2.86, 1 Ga 3.13
Br2 0.0265 0.6545 0.3671  1 Th 2.86, 1 Ga 3.13
Br3 0.3455 0.3720 0.3671  1 Th 2.86, 1 Ga 3.13
Br4 0.3455 0.9735 0.1329  1 Th 2.86, 1 Ga 3.13
Br5 0.3720 0.0265 0.6329  1 Th 2.86, 1 Ga 3.13
Br6 0.3720 0.3455 0.8671  1 Th 2.86, 1 Ga 3.13
Br7 0.6280 0.6545 0.1329  1 Th 2.86, 1 Ga 3.13
Br8 0.6280 0.9735 0.3671  1 Th 2.86, 1 Ga 3.13
Br9 0.6545 0.0265 0.8671  1 Th 2.86, 1 Ga 3.13
Br10 0.6545 0.6280 0.6329  1 Th 2.86, 1 Ga 3.13
Br11 0.9735 0.3455 0.6329  1 Th 2.86, 1 Ga 3.13
Br12 0.9735 0.6280 0.8671  1 Th 2.86, 1 Ga 3.13

As for the energy: -3.832 eV/atom. The value obtained for the raw formation energy is -1.251 eV/atom.

---

[6]
# TiInGa2Br6

An optimized crystal structure of TiInGa2Br6 (GGA-PBE, the Alexandria database).

Unit cell a=8.0542 b=8.0542 c=8.0542 alpha=56.35 beta=56.35 gamma=56.35
Closest atoms and distances in Å follow each position.
Atoms (fractional coordinates):
Ti1 0.0000 0.0000 0.0000  6 Br 2.58-2.64
In1 0.5105 0.5105 0.5105  6 Br 3.20-3.42
Ga1 0.3204 0.3204 0.3204  6 Br 3.09-3.13
Ga2 0.8071 0.8071 0.8071  6 Br 3.10-3.19
Br1 0.0891 0.3436 0.7767  1 Ti 2.58
Br2 0.1935 0.9224 0.6444  1 Ti 2.64
Br3 0.3436 0.7767 0.0891  1 Ti 2.58
Br4 0.6444 0.1935 0.9224  1 Ti 2.64
Br5 0.7767 0.0891 0.3436  1 Ti 2.58
Br6 0.9224 0.6444 0.1935  1 Ti 2.64

As for the energy: -3.472 eV/atom. The value obtained for the raw formation energy is -0.799 eV/atom.

---

[7]
# Tl3In2GaBr6

An optimized crystal structure of Tl3In2GaBr6 (GGA-PBE, the Alexandria database).

Unit cell a=8.1526 b=8.1526 c=8.1453 alpha=99.60 beta=99.60 gamma=119.91
Closest atoms and distances in Å follow each position.
Atoms (fractional coordinates):
Tl1 0.0000 0.0000 0.0000  6 Br 3.34-3.42
Tl2 0.3319 0.6681 0.0000  6 Br 3.33-3.44
Tl3 0.6681 0.3319 0.0000  6 Br 3.33-3.44
In1 0.1663 0.8337 0.5000  6 Br 3.32-3.34
In2 0.8337 0.1663 0.5000  6 Br 3.32-3.34
Ga1 0.5000 0.5000 0.5000  6 Br 3.21-3.24
Br1 0.0982 0.4208 0.2609  1 Ga 3.21, 2 In 3.32, 3 Tl 3.34-3.44
Br2 0.2598 0.2598 0.7457  1 Ga 3.24, 3 Tl 3.33-3.42, 2 In 3.34
Br3 0.4208 0.0982 0.2609  1 Ga 3.21, 2 In 3.32, 3 Tl 3.34-3.44
Br4 0.5792 0.9018 0.7391  1 Ga 3.21, 2 In 3.32, 3 Tl 3.34-3.44
Br5 0.7402 0.7402 0.2543  1 Ga 3.24, 3 Tl 3.33-3.42, 2 In 3.34
Br6 0.9018 0.5792 0.7391  1 Ga 3.21, 2 In 3.32, 3 Tl 3.34-3.44

As for the energy: -2.868 eV/atom. The value obtained for the raw formation energy is -0.731 eV/atom.

---

[8]
# TmIn2GaBr6

An optimized crystal structure of TmIn2GaBr6 (GGA-PBE, the Alexandria database).

Unit cell a=8.1668 b=8.1668 c=8.1668 alpha=58.51 beta=58.51 gamma=58.51
Closest atoms and distances in Å follow each position.
Atoms (fractional coordinates):
Tm1 0.0000 0.0000 0.0000  6 Br 2.76-2.81
In1 0.2997 0.2997 0.2997  6 Br 3.32-3.36
In2 0.7917 0.7917 0.7917  6 Br 3.32-3.42
Ga1 0.5082 0.5082 0.5082  6 Br 3.06-3.24
Br1 0.1414 0.3246 0.7551  1 Tm 2.76
Br2 0.2117 0.8674 0.6642  1 Tm 2.81, 1 Ga 3.06
Br3 0.3246 0.7551 0.1414  1 Tm 2.76
Br4 0.6642 0.2117 0.8674  1 Tm 2.81, 1 Ga 3.06
Br5 0.7551 0.1414 0.3246  1 Tm 2.76
Br6 0.8674 0.6642 0.2117  1 Tm 2.81, 1 Ga 3.06

As for the energy: -3.418 eV/atom. The value obtained for the raw formation energy is -1.116 eV/atom.

---

[9]
# V2InGaBr

An optimized crystal structure of V2InGaBr (GGA-PBE, the Alexandria database).

Unit cell a=5.0149 b=5.0149 c=5.1270 alpha=90.00 beta=90.00 gamma=90.00
Closest atoms and distances in Å follow each position.
Atoms (fractional coordinates):
V1 0.0000 0.5000 0.0000  2 Ga 2.51
V2 0.5000 0.0000 0.0000  2 Ga 2.51
In1 0.0000 0.0000 0.5000  2 Ga 2.56
Ga1 0.0000 0.0000 0.0000  4 V 2.51, 2 In 2.56
Br1 0.5000 0.5000 0.5000  4 In 3.55, 8 V 3.59

As for the energy: -4.297 eV/atom. The value obtained for the raw formation energy is 0.838 eV/atom.

---

[10]
# YInGa2Br6

An optimized crystal structure of YInGa2Br6 (GGA-PBE, the Alexandria database).

Unit cell a=7.8057 b=7.8170 c=8.3130 alpha=62.03 beta=62.03 gamma=60.08
Closest atoms and distances in Å follow each position.
Atoms (fractional coordinates):
Y1 0.0000 0.0000 0.0000  6 Br 2.80-2.86
In1 0.4900 0.4897 0.5313  6 Br 3.25-3.43
Ga1 0.1919 0.1917 0.4238  6 Br 3.13-3.22
Ga2 0.6836 0.6826 0.9501  6 Br 3.11-3.18
Br1 0.0722 0.3756 0.7412  1 Y 2.86, 2 Ga 3.11-3.13
Br2 0.2451 0.9060 0.2116  1 Y 2.80
Br3 0.3758 0.8114 0.7407  1 Y 2.86, 2 Ga 3.11-3.13
Br4 0.6378 0.2438 0.2120  1 Y 2.80
Br5 0.8103 0.0716 0.7414  1 Y 2.86, 2 Ga 3.11-3.13
Br6 0.9064 0.6376 0.2118  1 Y 2.80

As for the energy: -3.626 eV/atom. The value obtained for the raw formation energy is -1.097 eV/atom.